(1)
Mg4Tl3Zn | PBE-GGA | relaxed

a b c (Å): 3.5417 3.5417 14.7738
angles (deg): 90.00 90.00 90.00
Positions (direct):
Mg: 0.0000 0.0000 0.6334
Mg: 0.0000 0.0000 0.3666
Mg: 0.0000 0.0000 0.1039
Mg: 0.0000 0.0000 0.8961
Tl: 0.5000 0.5000 0.5000
Tl: 0.5000 0.5000 0.7646
Zn: 0.5000 0.5000 0.0000
Tl: 0.5000 0.5000 0.2354

Properties
density of states at the Fermi level = 2.70 states/eV/f.u.
total magnetization = 0.0 μB per cell
E = -15.04 eV per cell

---

(2)
SrLiZnRh | PBE-GGA | relaxed

a b c (Å): 4.8053 4.8053 4.8053
angles (deg): 60.00 60.00 60.00
Positions (direct):
Rh: 0.5000 0.5000 0.5000
Sr: 0.2500 0.2500 0.2500
Li: 0.0000 0.0000 0.0000
Zn: 0.7500 0.7500 0.7500

Properties
density of states at the Fermi level = 2.29 states/eV/f.u.
total magnetization = 0.0 μB per cell
energy above the most stable polymorph in this dataset = 200 meV per atom

---

(3)
SmY3Tm2Se6 | PBE-GGA | relaxed

a b c (Å): 4.0624 8.1996 9.1059
angles (deg): 102.78 102.89 90.00
Positions (direct):
Sm: 0.5000 0.0000 0.0000
Y: 0.8378 0.1658 0.6757
Se: 0.6708 0.0906 0.3415
Y: 0.1622 0.8342 0.3243
Tm: 0.8354 0.6702 0.6709
Se: 0.6693 0.5798 0.3386
Se: 0.3307 0.4202 0.6614
Se: 0.3292 0.9094 0.6585
Se: 0.9971 0.7427 0.9943
Y: 0.5000 0.5000 0.0000
Tm: 0.1646 0.3298 0.3291
Se: 0.0029 0.2573 0.0057

Properties
density of states at the Fermi level = 5.96 states/eV/f.u.
total magnetization = 0.0 μB per cell
formation energy from raw total energies = -1.738 eV/atom

---

(4)
HoMgZn4 | PBE-GGA | relaxed

a b c (Å): 4.4328 4.4328 6.4919
angles (deg): 90.00 90.00 120.00
Positions (direct):
Ho: 0.0000 0.0000 0.5000
Mg: 0.0000 0.0000 0.0000
Zn: 0.3333 0.6667 0.7610
Zn: 0.6667 0.3333 0.7610
Zn: 0.3333 0.6667 0.2390
Zn: 0.6667 0.3333 0.2390

Properties
density of states at the Fermi level = 1.90 states/eV/f.u.
total magnetization = 0.0 μB per cell
E = -12.99 eV per cell

---

(5)
Li3SiH6 | PBE-GGA | relaxed

a b c (Å): 5.1123 6.1048 6.1048
angles (deg): 104.40 90.00 90.00
Positions (direct):
Si: 0.4820 0.8536 0.1464
H: 0.5716 0.6080 0.0783
H: 0.2543 0.0495 0.9505
Li: 0.4790 0.3074 0.1142
H: 0.0716 0.3920 0.9217
H: 0.5716 0.9217 0.3920
H: 0.7543 0.9505 0.0495
H: 0.2421 0.6659 0.6796
H: 0.6692 0.1950 0.8050
H: 0.1692 0.8050 0.1950
H: 0.7421 0.6796 0.6659
Li: 0.9790 0.6926 0.8858
Li: 0.9946 0.5658 0.4342
Si: 0.9820 0.1464 0.8536
H: 0.7421 0.3341 0.3204
Li: 0.4790 0.8858 0.6926
H: 0.2421 0.3204 0.3341
Li: 0.4946 0.4342 0.5658
H: 0.0716 0.0783 0.6080
Li: 0.9790 0.1142 0.3074

Properties
density of states at the Fermi level = 0.84 states/eV/f.u.
total magnetization = 0.0 μB per cell
E = -64.12 eV per cell

---

(6)
Ce2Mg7 | PBE-GGA | relaxed

a b c (Å): 5.6619 5.6619 8.1074
angles (deg): 90.00 90.00 120.00
Positions (direct):
Mg: 0.3235 0.3235 0.3394
Mg: 0.0000 0.6765 0.3394
Mg: 0.0000 0.0000 0.0000
Ce: 0.6667 0.3333 0.0000
Mg: 0.6765 0.0000 0.3394
Ce: 0.3333 0.6667 0.0000
Mg: 0.3235 0.0000 0.6606
Mg: 0.0000 0.3235 0.6606
Mg: 0.6765 0.6765 0.6606

Properties
density of states at the Fermi level = 14.50 states/eV/f.u.
total magnetization = 2.1 μB per cell
E = -22.44 eV per cell

---

(7)
CrInRe2 | PBE-GGA | relaxed

a b c (Å): 5.0713 5.0713 5.0713
angles (deg): 135.72 135.72 64.42
Positions (direct):
Cr: 0.2500 0.7500 0.5000
Re: 0.5000 0.5000 0.0000
Re: 0.0000 0.0000 0.0000
In: 0.7500 0.2500 0.5000

Properties
density of states at the Fermi level = 4.21 states/eV/f.u.
total magnetization = 1.7 μB per cell
E = -35.21 eV per cell

---

(8)
Cs2ErAg2Se4 | PBE-GGA | relaxed

a b c (Å): 4.2213 8.6007 8.1897
angles (deg): 107.13 104.93 90.00
Positions (direct):
Se: 0.8095 0.8233 0.6190
Er: 0.0000 0.0000 0.0000
Se: 0.4868 0.2206 0.9736
Cs: 0.1320 0.5637 0.2641
Se: 0.1905 0.1767 0.3810
Se: 0.5132 0.7794 0.0264
Ag: 0.3201 0.0196 0.6403
Cs: 0.8680 0.4363 0.7359
Ag: 0.6799 0.9804 0.3597

Properties
density of states at the Fermi level = 4.56 states/eV/f.u.
total magnetization = 0.0 μB per cell
formation energy from raw total energies = -1.012 eV/atom

---

(9)
Ta3IrPt | PBE-GGA | relaxed

a b c (Å): 4.7884 4.7884 4.7884
angles (deg): 90.00 90.00 90.00
Positions (direct):
Ta: 0.0000 0.5000 0.0000
Ta: 0.5000 0.0000 0.0000
Ir: 0.0000 0.0000 0.0000
Pt: 0.5000 0.5000 0.5000
Ta: 0.0000 0.0000 0.5000

Properties
density of states at the Fermi level = 5.03 states/eV/f.u.
total magnetization = 0.0 μB per cell
energy above the most stable polymorph in this dataset = 0 meV per atom

---

(10)
RuPb2Cl | PBE-GGA | relaxed

a b c (Å): 7.3977 7.3977 4.4284
angles (deg): 89.92 89.92 25.61
Positions (direct):
Pb: 0.8104 0.8104 0.6251
Ru: 0.4759 0.4759 0.6247
Cl: 0.2083 0.2083 0.1257
Pb: 0.0054 0.0054 0.1246

Properties
density of states at the Fermi level = 1.32 states/eV/f.u.
total magnetization = 0.0 μB per cell
energy above the most stable polymorph in this dataset = 34 meV per atom
formation energy from raw total energies = 0.050 eV/atom

---

(11)
BeH4NCl3 | PBE-GGA | relaxed

a b c (Å): 8.0608 5.7974 17.5624
angles (deg): 90.33 126.83 89.72
Positions (direct):
H: 0.1830 0.4733 0.8845
H: 0.0263 0.6064 0.3823
H: 0.3470 0.2756 0.8901
Cl: 0.4753 0.9296 0.8824
H: 0.0041 0.4000 0.3086
Cl: 0.8637 0.8453 0.4117
N: 0.3365 0.4337 0.9148
Cl: 0.1134 0.2090 0.6887
Cl: 0.3812 0.8146 0.6708
H: 0.9420 0.8681 0.9159
Be: 0.6068 0.5626 0.7093
Cl: 0.5482 0.3966 0.2974
H: 0.8123 0.9151 0.9615
Cl: 0.8904 0.7102 0.7894
Cl: 0.6188 0.3158 0.8004
H: 0.3929 0.5629 0.8954
Be: 0.3930 0.0678 0.7560
Be: 0.5664 0.7509 0.3179
H: 0.1959 0.6009 0.3549
Be: 0.4636 0.4921 0.1662
N: 0.9600 0.8976 0.9791
H: 0.7449 0.6520 0.5818
H: 0.4256 0.4275 0.9889
H: 0.0347 0.7542 0.0220
Cl: 0.6701 0.3990 0.1441
Cl: 0.1715 0.3988 0.0585
Cl: 0.3870 0.8584 0.3533
N: 0.8798 0.7113 0.5931
N: 0.1087 0.4982 0.3678
H: 0.8574 0.7449 0.5292
H: 0.9910 0.5837 0.6293
Cl: 0.4632 0.8471 0.1821
H: 0.0456 0.0463 0.0127
H: 0.2102 0.3995 0.4273
Cl: 0.5317 0.4228 0.5895
H: 0.9314 0.8619 0.6330

Properties
density of states at the Fermi level = 0.00 states/eV/f.u.
total magnetization = 0.0 μB per cell
energy above the most stable polymorph in this dataset = 0 meV per atom

---

(12)
Ac2SbPt3 | PBE-GGA | relaxed

a b c (Å): 6.3078 6.3078 9.0280
angles (deg): 108.72 108.72 94.67
Positions (direct):
Ac: 0.7500 0.2500 0.5000
Ac: 0.2500 0.7500 0.5000
Pt: 0.8346 0.3319 0.1664
Ac: 0.2343 0.2343 0.0000
Sb: 0.3351 0.3351 0.6702
Pt: 0.1654 0.6681 0.8336
Pt: 0.1664 0.1664 0.3329
Ac: 0.7657 0.7657 0.0000
Sb: 0.6649 0.6649 0.3298
Pt: 0.3319 0.8346 0.1664
Pt: 0.8336 0.8336 0.6671
Pt: 0.6681 0.1654 0.8336

Properties
density of states at the Fermi level = 2.27 states/eV/f.u.
total magnetization = 0.0 μB per cell
formation energy from raw total energies = -1.060 eV/atom

---

(13)
CeThPa2 | PBE-GGA | relaxed

a b c (Å): 4.9047 4.6856 4.6856
angles (deg): 90.00 90.00 90.00
Positions (direct):
Ce: 0.5000 0.5000 0.5000
Th: 0.5000 0.0000 0.0000
Pa: 0.0000 0.0000 0.5000
Pa: 0.0000 0.5000 0.0000

Properties
density of states at the Fermi level = 8.91 states/eV/f.u.
total magnetization = 0.0 μB per cell
energy above the most stable polymorph in this dataset = 4 meV per atom

---

(14)
Er3In2Pd2 | PBE-GGA | relaxed

a b c (Å): 4.1433 3.5630 11.2720
angles (deg): 90.00 79.41 90.00
Positions (direct):
Er: 0.8300 0.0000 0.3400
Pd: 0.2903 0.5000 0.4193
Er: 0.0000 0.0000 0.0000
Er: 0.1700 0.0000 0.6600
In: 0.5815 0.5000 0.8370
In: 0.4185 0.5000 0.1630
Pd: 0.7097 0.5000 0.5807

Properties
density of states at the Fermi level = 3.90 states/eV/f.u.
total magnetization = 0.0 μB per cell
E = -34.55 eV per cell

---

(15)
KSr2Au | PBE-GGA | relaxed

a b c (Å): 3.9623 3.9624 10.8549
angles (deg): 90.00 90.00 89.93
Positions (direct):
K: 0.5000 0.5000 0.7500
Au: 0.5000 0.5000 0.2500
Sr: 0.0000 0.0000 0.4159
Sr: 0.0000 0.0000 0.0841

Properties
density of states at the Fermi level = 2.82 states/eV/f.u.
total magnetization = 0.0 μB per cell
energy above the most stable polymorph in this dataset = 37 meV per atom

---

(16)
ZrZnN2F | PBE-GGA | relaxed

a b c (Å): 4.2554 4.2554 4.1240
angles (deg): 90.00 90.00 90.00
Positions (direct):
F: 0.0000 0.0000 0.5000
Zn: 0.5000 0.5000 0.5000
Zr: 0.0000 0.0000 0.0000
N: 0.0000 0.5000 0.0000
N: 0.5000 0.0000 0.0000

Properties
density of states at the Fermi level = 2.09 states/eV/f.u.
total magnetization = 0.4 μB per cell
energy above the most stable polymorph in this dataset = 0 meV per atom
formation energy from raw total energies = -0.445 eV/atom

---

(17)
YPS2Cl | PBE-GGA | relaxed

a b c (Å): 5.3355 5.3355 5.1318
angles (deg): 90.00 90.00 90.00
Positions (direct):
P: 0.5000 0.5000 0.5000
S: 0.5000 0.0000 0.0000
Y: 0.0000 0.0000 0.0000
Cl: 0.0000 0.0000 0.5000
S: 0.0000 0.5000 0.0000

Properties
density of states at the Fermi level = 2.61 states/eV/f.u.
total magnetization = 1.0 μB per cell
energy above the most stable polymorph in this dataset = 331 meV per atom
formation energy from raw total energies = -0.199 eV/atom

---

(18)
BeW2Cl | PBE-GGA | relaxed

a b c (Å): 4.3994 4.3994 4.3994
angles (deg): 60.00 60.00 60.00
Positions (direct):
W: 0.0000 0.0000 0.0000
Be: 0.5000 0.5000 0.5000
W: 0.2500 0.2500 0.2500
Cl: 0.7500 0.7500 0.7500

Properties
density of states at the Fermi level = 1.67 states/eV/f.u.
total magnetization = 0.0 μB per cell
energy above the most stable polymorph in this dataset = 760 meV per atom
formation energy from raw total energies = 1.074 eV/atom

---

(19)
Mg4SnPd5 | PBE-GGA | relaxed

a b c (Å): 5.2180 6.4246 6.4246
angles (deg): 80.51 66.04 66.04
Positions (direct):
Sn: 0.1336 0.0000 0.0000
Mg: 0.5971 0.6080 0.1324
Mg: 0.2051 0.1324 0.3920
Pd: 0.9002 0.4010 0.7266
Pd: 0.6511 0.0000 0.0000
Mg: 0.7295 0.8676 0.6080
Mg: 0.3376 0.3920 0.8676
Pd: 0.6268 0.2734 0.4010
Pd: 0.0279 0.5990 0.2734
Pd: 0.3013 0.7266 0.5990

Properties
density of states at the Fermi level = 3.55 states/eV/f.u.
total magnetization = 0.0 μB per cell
energy above the most stable polymorph in this dataset = 244 meV per atom

---

(20)
Cs2MnVBi | PBE-GGA | relaxed

a b c (Å): 7.2170 3.9282 7.2170
angles (deg): 90.00 90.00 90.00
Positions (direct):
Mn: 0.0000 0.0000 0.0000
V: 0.0000 0.5000 0.0000
Cs: 0.0000 0.0000 0.5000
Bi: 0.5000 0.5000 0.5000
Cs: 0.5000 0.0000 0.0000

Properties
density of states at the Fermi level = 4.06 states/eV/f.u.
total magnetization = 0.1 μB per cell
E = -18.34 eV per cell